Below is TaCrP2O after structural relaxation, with properties calculated at the PBE with a Hubbard U level.

* SG: P4/mmm (123)
* distance to the lowest polymorph of the same formula: 592.9 meV/atom
* total energy: -34.23 eV for the cell shown
* magnetization: 2.109 μB/cell

Cell: 4.7304 4.7304 3.4538 Å, 90.00 90.00 90.00°
Last column: nearest neighbours and their distance in Å.
Atoms (fractional coordinates):
1 P 0.0000 0.5000 0.0000  2 Cr 2.37
2 P 0.5000 0.0000 0.0000  2 Cr 2.37
3 O 0.0000 0.0000 0.5000  2 Cr 1.73
4 Cr 0.0000 0.0000 0.0000  2 O 1.73
5 Ta 0.5000 0.5000 0.5000  8 P 2.93